1.
DFT (PBE-GGA) results for a geometry-optimized PmPu3Th4S8 structure.

* formation energy without anion corrections: -1.852 eV/atom

Cell: 7.9619 7.9619 19.8311 Å, 90.00 90.00 120.00°
Last column: nearest neighbours and their distance in Å.
Space group R-3m (No. 166, hexagonal axes)
Inequivalent atoms, fractional coordinates:
Pm: 0.0000 0.0000 0.0000 [3 per cell]  6 S 2.82
Pu: 0.0000 0.5000 0.0000 [9 per cell]  6 S 2.78-2.79
Th: 0.0000 0.0000 0.5000 [3 per cell]  6 S 2.84
Th: 0.0000 0.5000 0.5000 [9 per cell]  6 S 2.87-2.88
S: 0.0000 0.0000 0.2541 [6 per cell]  3 Pu 2.78, 3 Th 2.88
S: 0.0035 0.5017 0.2528 [18 per cell]  2 Pu 2.79, 1 Pm 2.82, 3 Th 2.84-2.87

---

2.
DFT (PBE-GGA) results for a geometry-optimized VCuAs2 structure.

* energy of formation from the pure elements: -0.0427 eV/atom

Cell: 3.2482 3.2482 5.6534 Å, 90.00 90.00 90.00°
Last column: nearest neighbours and their distance in Å.
Space group P4/mmm (No. 123)
Inequivalent atoms, fractional coordinates:
V: 0.0000 0.0000 0.0000 [1 per cell]  8 As 2.66, 2 Cu 2.83
Cu: 0.0000 0.0000 0.5000 [1 per cell]  8 As 2.73, 2 V 2.83
As: 0.5000 0.5000 0.2382 [2 per cell]  4 V 2.66, 2 As 2.69-2.96, 4 Cu 2.73

---

3.
DFT (PBE-GGA) results for a geometry-optimized Sc2VAg2 structure.

* energy of formation from the pure elements: 0.1103 eV/atom

Cell: 7.6300 7.6300 3.5183 Å, 90.00 90.00 90.00°
Last column: nearest neighbours and their distance in Å.
Space group P4/mbm (No. 127)
Inequivalent atoms, fractional coordinates:
Sc: 0.1734 0.3266 0.0000 [4 per cell]  6 Ag 2.77-2.92
V: 0.0000 0.0000 0.5000 [2 per cell]  4 Ag 3.00, 8 Sc 3.33
Ag: 0.1289 0.6289 0.5000 [4 per cell]  6 Sc 2.77-2.92, 1 Ag 2.78, 2 V 3.00

---

4.
DFT (PBE-GGA) results for a geometry-optimized Er4ZnIn3 structure.

* energy of formation from the pure elements: -0.3759 eV/atom

Cell: 3.7308 4.6832 11.8606 Å, 90.00 90.00 90.00°
Last column: nearest neighbours and their distance in Å.
Space group Pmm2 (No. 25)
Inequivalent atoms, fractional coordinates:
Er: 0.0000 0.0000 0.0000 [1 per cell]  5 In 3.14-3.23, 2 Zn 3.28
Er: 0.0000 0.5000 0.3018 [1 per cell]  4 Zn 3.12, 3 In 3.19-3.23
Er: 0.5000 0.0000 0.4815 [1 per cell]  1 Zn 3.02, 4 In 3.18
Er: 0.5000 0.5000 0.8106 [1 per cell]  7 In 3.15-3.40
Zn: 0.5000 0.0000 0.2270 [1 per cell]  2 In 2.93, 7 Er 3.02-3.28
In: 0.0000 0.0000 0.7281 [1 per cell]  2 In 2.99, 5 Er 3.15-3.23
In: 0.0000 0.5000 0.5710 [1 per cell]  2 In 2.99, 5 Er 3.18-3.19
In: 0.5000 0.5000 0.0790 [1 per cell]  2 Zn 2.93, 7 Er 3.14-3.23

---

5.
DFT (PBE-GGA) results for a geometry-optimized TaTcHgIr2 structure.

* energy of formation from the pure elements: 1.4319 eV/atom

Cell: 4.7329 4.7329 4.7988 Å, 90.00 90.00 90.00°
Last column: nearest neighbours and their distance in Å.
Space group P4/mmm (No. 123)
Inequivalent atoms, fractional coordinates:
Ta: 0.0000 0.0000 0.0000 [1 per cell]  2 Tc 2.40
Tc: 0.0000 0.0000 0.5000 [1 per cell]  4 Ir 2.37, 2 Ta 2.40
Hg: 0.5000 0.5000 0.0000 [1 per cell]  4 Ta 3.35, 8 Ir 3.37
Ir: 0.0000 0.5000 0.5000 [2 per cell]  2 Tc 2.37

---

6.
DFT (PBE-GGA) results for a geometry-optimized NaAlIrO6 structure.

* formation energy without anion corrections: -1.283 eV/atom

Cell: 5.0444 5.0444 10.4348 Å, 90.00 90.00 120.00°
Last column: nearest neighbours and their distance in Å.
Space group P-31c (No. 163)
Inequivalent atoms, fractional coordinates:
Na: 0.0000 0.0000 0.0000 [2 per cell]  6 O 2.45
Al: 0.3333 0.6667 0.2500 [2 per cell]  6 O 1.91
Ir: 0.3333 0.6667 0.7500 [2 per cell]  6 O 1.90
O: 0.0016 0.3746 0.6499 [12 per cell]  1 Ir 1.90, 1 Al 1.91

---

| no. | Fermi-level density of states (states/eV per cell) |
| --- | --- |
| 1 | 63.22 |
| 2 | 2.21 |
| 3 | 14.05 |
| 4 | 7.14 |
| 5 | 6.73 |
| 6 | 10.41 |